Entry 1:
{
  "formula": "CsCuBiS3",
  "functional": "PBE",
  "state": "optimized geometry",
  "volume_a3_per_cell": 333.9,
  "sg": "Cmcm",
  "cell": [[2.0374, -7.5419, 0.0000], [2.0374, 7.5419, 0.0000], [0.0000, 0.0000, 10.8653]],
  "species": ["Cs", "Cs", "Cu", "Cu", "Bi", "Bi", "S", "S", "S", "S", "S", "S"],
  "fractional_positions": [[0.2370, 0.7630, 0.7500], [0.7630, 0.2370, 0.2500], [0.0427, 0.9573, 0.2500], [0.9573, 0.0427, 0.7500], [0.5000, 0.5000, 0.0000], [0.5000, 0.5000, 0.5000], [0.1186, 0.8814, 0.0636], [0.1186, 0.8814, 0.4364], [0.4618, 0.5382, 0.2500], [0.5382, 0.4618, 0.7500], [0.8814, 0.1186, 0.5636], [0.8814, 0.1186, 0.9364]]
}

***

Entry 2:
{
  "formula": "Cs4Cu2BiSb",
  "functional": "PBE",
  "state": "optimized geometry",
  "volume_a3_per_cell": 673.6,
  "sg": "Amm2",
  "cell": [[7.0160, 0.0000, 0.0000], [0.0000, 11.7855, 0.0000], [0.0000, 0.0000, 8.1462]],
  "species": ["Cs", "Cs", "Cs", "Cs", "Cs", "Cs", "Cs", "Cs", "Cu", "Cu", "Cu", "Cu", "Bi", "Bi", "Sb", "Sb"],
  "fractional_positions": [[0.0000, 0.1635, 0.0000], [0.0000, 0.3365, 0.5000], [0.0000, 0.6635, 0.5000], [0.0000, 0.8365, 0.0000], [0.5000, 0.1665, 0.6627], [0.5000, 0.3335, 0.1627], [0.5000, 0.6665, 0.1627], [0.5000, 0.8335, 0.6627], [0.2598, 0.0000, 0.3242], [0.2598, 0.5000, 0.8242], [0.7402, 0.0000, 0.3242], [0.7402, 0.5000, 0.8242], [0.0000, 0.0000, 0.5548], [0.0000, 0.5000, 0.0548], [0.5000, 0.0000, 0.0945], [0.5000, 0.5000, 0.5945]]
}

***

Entry 3:
{
  "formula": "CsCuBiTe3",
  "functional": "PBE",
  "state": "optimized geometry",
  "volume_a3_per_cell": 440.2,
  "sg": "Cmcm",
  "cell": [[2.1373, -8.6434, 0.0000], [2.1373, 8.6434, 0.0000], [0.0000, 0.0000, 11.9152]],
  "species": ["Cs", "Cs", "Cu", "Cu", "Bi", "Bi", "Te", "Te", "Te", "Te", "Te", "Te"],
  "fractional_positions": [[0.2411, 0.7589, 0.7500], [0.7589, 0.2411, 0.2500], [0.0430, 0.9570, 0.2500], [0.9570, 0.0430, 0.7500], [0.5000, 0.5000, 0.0000], [0.5000, 0.5000, 0.5000], [0.1249, 0.8751, 0.0616], [0.1249, 0.8751, 0.4384], [0.4489, 0.5511, 0.2500], [0.5511, 0.4489, 0.7500], [0.8751, 0.1249, 0.5616], [0.8751, 0.1249, 0.9384]]
}

***

Entry 4:
{
  "formula": "CsDyBi",
  "functional": "PBE",
  "state": "optimized geometry",
  "volume_a3_per_cell": 516.9,
  "sg": "F-43m",
  "magmom_total_mub_per_fu": 0.09,
  "cell": [[8.0255, 0.0000, 0.0000], [0.0000, 8.0255, 0.0000], [0.0000, 0.0000, 8.0255]],
  "species": ["Cs", "Cs", "Cs", "Cs", "Dy", "Dy", "Dy", "Dy", "Bi", "Bi", "Bi", "Bi"],
  "fractional_positions": [[0.0000, 0.0000, 0.0000], [0.0000, 0.5000, 0.5000], [0.5000, 0.0000, 0.5000], [0.5000, 0.5000, 0.0000], [0.2500, 0.2500, 0.2500], [0.2500, 0.7500, 0.7500], [0.7500, 0.2500, 0.7500], [0.7500, 0.7500, 0.2500], [0.2500, 0.2500, 0.7500], [0.2500, 0.7500, 0.2500], [0.7500, 0.2500, 0.2500], [0.7500, 0.7500, 0.7500]]
}

***

Entry 5:
{
  "formula": "CsDyBiTe3",
  "functional": "PBE",
  "state": "optimized geometry",
  "volume_a3_per_cell": 481.0,
  "sg": "Cmcm",
  "magmom_total_mub_per_fu": 0.00,
  "cell": [[2.2157, -9.0287, 0.0000], [2.2157, 9.0287, 0.0000], [0.0000, 0.0000, 12.0212]],
  "species": ["Cs", "Cs", "Dy", "Dy", "Bi", "Bi", "Te", "Te", "Te", "Te", "Te", "Te"],
  "fractional_positions": [[0.2426, 0.7574, 0.7500], [0.7574, 0.2426, 0.2500], [0.0000, 0.0000, 0.0000], [0.0000, 0.0000, 0.5000], [0.4530, 0.5470, 0.2500], [0.5470, 0.4530, 0.7500], [0.0791, 0.9209, 0.2500], [0.3792, 0.6208, 0.0223], [0.3792, 0.6208, 0.4777], [0.6208, 0.3792, 0.5223], [0.6208, 0.3792, 0.9777], [0.9209, 0.0791, 0.7500]]
}

***

Entry 6:
{
  "formula": "CsFeBiTe3",
  "functional": "PBE",
  "state": "optimized geometry",
  "volume_a3_per_cell": 457.9,
  "sg": "Cmcm",
  "magmom_total_mub_per_fu": 4.00,
  "cell": [[2.2530, -8.3486, 0.0000], [2.2530, 8.3486, 0.0000], [0.0000, 0.0000, 12.1724]],
  "species": ["Cs", "Cs", "Fe", "Fe", "Bi", "Bi", "Te", "Te", "Te", "Te", "Te", "Te"],
  "fractional_positions": [[0.2383, 0.7617, 0.7500], [0.7617, 0.2383, 0.2500], [0.0426, 0.9574, 0.2500], [0.9574, 0.0426, 0.7500], [0.5000, 0.5000, 0.0000], [0.5000, 0.5000, 0.5000], [0.1242, 0.8758, 0.0643], [0.1242, 0.8758, 0.4357], [0.4517, 0.5483, 0.2500], [0.5483, 0.4517, 0.7500], [0.8758, 0.1242, 0.5643], [0.8758, 0.1242, 0.9357]]
}

***

Entry 7:
{
  "formula": "CsGdBiSe3",
  "functional": "PBE",
  "state": "optimized geometry",
  "volume_a3_per_cell": 464.0,
  "sg": "Cmcm",
  "magmom_total_mub_per_fu": 0.00,
  "cell": [[2.2869, -8.4368, 0.0000], [2.2869, 8.4368, 0.0000], [0.0000, 0.0000, 12.0244]],
  "species": ["Cs", "Cs", "Gd", "Gd", "Bi", "Bi", "Se", "Se", "Se", "Se", "Se", "Se"],
  "fractional_positions": [[0.2043, 0.7957, 0.7500], [0.7957, 0.2043, 0.2500], [0.5000, 0.5000, 0.0000], [0.5000, 0.5000, 0.5000], [0.0882, 0.9118, 0.2500], [0.9118, 0.0882, 0.7500], [0.1106, 0.8894, 0.0079], [0.1106, 0.8894, 0.4921], [0.4942, 0.5058, 0.2500], [0.5058, 0.4942, 0.7500], [0.8894, 0.1106, 0.5079], [0.8894, 0.1106, 0.9921]]
}

***

Entry 8:
{
  "formula": "CsGdBiTe3",
  "functional": "PBE",
  "state": "optimized geometry",
  "volume_a3_per_cell": 487.2,
  "sg": "Cmcm",
  "magmom_total_mub_per_fu": 0.01,
  "cell": [[2.2458, -9.0292, 0.0000], [2.2458, 9.0292, 0.0000], [0.0000, 0.0000, 12.0138]],
  "species": ["Cs", "Cs", "Gd", "Gd", "Bi", "Bi", "Te", "Te", "Te", "Te", "Te", "Te"],
  "fractional_positions": [[0.2403, 0.7597, 0.7500], [0.7597, 0.2403, 0.2500], [0.0000, 0.0000, 0.0000], [0.0000, 0.0000, 0.5000], [0.4559, 0.5441, 0.2500], [0.5441, 0.4559, 0.7500], [0.0821, 0.9179, 0.2500], [0.3778, 0.6222, 0.0255], [0.3778, 0.6222, 0.4745], [0.6222, 0.3778, 0.5255], [0.6222, 0.3778, 0.9745], [0.9179, 0.0821, 0.7500]]
}

***

Entry 9:
{
  "formula": "CsHf3Bi5",
  "functional": "PBE",
  "state": "optimized geometry",
  "volume_a3_per_cell": 296.1,
  "sg": "P6/mmm",
  "magmom_total_mub_per_fu": 0.01,
  "cell": [[6.0762, 0.0000, 0.0000], [-3.0381, 5.2621, 0.0000], [0.0000, 0.0000, 9.2613]],
  "species": ["Cs", "Hf", "Hf", "Hf", "Bi", "Bi", "Bi", "Bi", "Bi"],
  "fractional_positions": [[0.0000, 0.0000, 0.0000], [0.0000, 0.5000, 0.5000], [0.5000, 0.0000, 0.5000], [0.5000, 0.5000, 0.5000], [0.0000, 0.0000, 0.5000], [0.3333, 0.6667, 0.2254], [0.3333, 0.6667, 0.7746], [0.6667, 0.3333, 0.2254], [0.6667, 0.3333, 0.7746]]
}

***

Entry 10:
{
  "formula": "CsKHg2Bi2",
  "functional": "PBE",
  "state": "optimized geometry",
  "volume_a3_per_cell": 251.5,
  "sg": "P3m1",
  "cell": [[5.0802, 0.0000, 0.0000], [-2.5401, 4.3996, 0.0000], [0.0000, 0.0000, 11.2513]],
  "species": ["Cs", "K", "Hg", "Hg", "Bi", "Bi"],
  "fractional_positions": [[0.0000, 0.0000, 0.0000], [0.0000, 0.0000, 0.5065], [0.3333, 0.6667, 0.7236], [0.6667, 0.3333, 0.2919], [0.3333, 0.6667, 0.2613], [0.6667, 0.3333, 0.7417]]
}

***

Entry 11:
{
  "formula": "CsKHg2Bi2",
  "functional": "PBE",
  "state": "optimized geometry",
  "volume_a3_per_cell": 250.3,
  "sg": "P-3m1",
  "cell": [[5.0763, 0.0000, 0.0000], [-2.5381, 4.3962, 0.0000], [0.0000, 0.0000, 11.2179]],
  "species": ["Cs", "K", "Hg", "Hg", "Bi", "Bi"],
  "fractional_positions": [[0.0000, 0.0000, 0.0000], [0.0000, 0.0000, 0.5000], [0.3333, 0.6667, 0.2842], [0.6667, 0.3333, 0.7158], [0.3333, 0.6667, 0.7428], [0.6667, 0.3333, 0.2572]]
}

***

Entry 12:
{
  "formula": "CsKHg2BiSb",
  "functional": "PBE",
  "state": "optimized geometry",
  "volume_a3_per_cell": 243.8,
  "sg": "P3m1",
  "cell": [[5.0078, 0.0000, 0.0000], [-2.5039, 4.3369, 0.0000], [0.0000, 0.0000, 11.2244]],
  "species": ["Cs", "K", "Hg", "Hg", "Bi", "Sb"],
  "fractional_positions": [[0.0000, 0.0000, 0.0000], [0.0000, 0.0000, 0.5089], [0.3333, 0.6667, 0.7258], [0.6667, 0.3333, 0.2930], [0.3333, 0.6667, 0.2623], [0.6667, 0.3333, 0.7421]]
}

***

| no. | total DFT energy (no corrections) (eV/atom) |
| --- | --- |
| 1 | -4.010 |
| 2 | -2.645 |
| 3 | -3.370 |
| 4 | -2.487 |
| 5 | -3.933 |
| 6 | -4.112 |
| 7 | -4.400 |
| 8 | -3.955 |
| 9 | -5.915 |
| 10 | -2.098 |
| 11 | -2.099 |
| 12 | -2.137 |